(1)
Compound: MnCo2Cu
Source: the Alexandria database
Functional: PBE-GGA
Structure: optimized geometry

Fermi-level density of states = 11.67 states/eV per cell
magnetic moment = 0.487 μB per atom
ΔE_f = 0.62 eV per atom
space group = I-42d

Cell lengths 6.2773, 6.2773, 5.0784 Å; angles 51.83, 51.83, 90.00 degrees
Fractional coordinates of all 8 atoms:
Mn1 0.5000 0.5000 0.0000
Mn2 0.2500 0.7500 0.5000
Co1 0.5997 0.1250 0.2500
Co2 0.1503 0.6250 0.2500
Co3 0.3750 0.4003 0.7500
Co4 0.8750 0.8497 0.7500
Cu1 0.0000 0.0000 0.0000
Cu2 0.7500 0.2500 0.5000


(2)
Compound: SrIrRu2
Source: the Alexandria database
Functional: PBE-GGA
Structure: optimized geometry

offset from the most stable computed form = 20.7 kJ per mole of atoms
Fermi-level density of states = 6.26 states/eV per cell
magnetic moment = 0.000 μB per atom
ΔE_f = 0.61 eV per atom
space group = P2/m

Cell lengths 4.5321, 2.9103, 5.8356 Å; angles 79.08, 90.00, 90.00 degrees
Fractional coordinates of all 4 atoms:
Ir1 0.5000 0.7500 0.7500
Ru1 0.0000 0.9475 0.9315
Ru2 0.0000 0.5525 0.5685
Sr1 0.5000 0.2500 0.2500


(3)
Compound: PaAl3Ni4
Source: the Alexandria database
Functional: PBE-GGA
Structure: optimized geometry

Fermi-level density of states = 7.77 states/eV per cell
magnetic moment = 0.000 μB per atom
ΔE_f = -0.54 eV per atom
space group = R-3m

Cell lengths 4.0474, 4.0474, 8.4352 Å; angles 76.12, 76.12, 60.00 degrees
Fractional coordinates of all 8 atoms:
Ni1 0.8678 0.8678 0.3965
Ni2 0.3993 0.3993 0.8021
Ni3 0.1322 0.1322 0.6035
Ni4 0.6007 0.6007 0.1979
Pa1 0.0000 0.0000 0.0000
Al1 0.2379 0.2379 0.2862
Al2 0.7621 0.7621 0.7138
Al3 0.5000 0.5000 0.5000


(4)
Compound: PuU2As3
Source: the Alexandria database
Functional: PBE-GGA
Structure: optimized geometry

offset from the most stable computed form = 17.7 kJ per mole of atoms
Fermi-level density of states = 26.52 states/eV per cell
magnetic moment = 1.076 μB per atom
ΔE_f = -0.64 eV per atom
space group = Pmc2_1

Cell lengths 3.8570, 7.7422, 8.8136 Å; angles 90.00, 90.00, 90.00 degrees
Fractional coordinates of all 12 atoms:
Pu1 0.0000 0.9497 0.9172
Pu2 0.0000 0.4497 0.0828
U1 0.0000 0.9680 0.3007
U2 0.5000 0.0777 0.4730
U3 0.0000 0.4680 0.6993
U4 0.5000 0.5777 0.5270
As1 0.5000 0.1571 0.1162
As2 0.5000 0.2089 0.7946
As3 0.0000 0.3400 0.3965
As4 0.5000 0.6571 0.8838
As5 0.5000 0.7089 0.2054
As6 0.0000 0.8400 0.6035


(5)
Compound: LaMoP
Source: the Alexandria database
Functional: PBE-GGA
Structure: optimized geometry

offset from the most stable computed form = 28.8 kJ per mole of atoms
Fermi-level density of states = 2.85 states/eV per cell
magnetic moment = 0.000 μB per atom
ΔE_f = -0.45 eV per atom
space group = I4mm

Cell lengths 5.9175, 5.9175, 5.9175 Å; angles 147.46, 147.46, 46.69 degrees
Fractional coordinates of all 3 atoms:
La1 0.9977 0.9977 0.0000
Mo1 0.7096 0.7096 0.0000
P1 0.2927 0.2927 0.0000


(6)
Compound: K2ThS3
Source: the Alexandria database
Functional: PBE-GGA
Structure: optimized geometry

Fermi-level density of states = 0.00 states/eV per cell
formation energy (no corrections) = -1723 meV per atom
magnetic moment = 0.000 μB per atom
space group = C2/m

Cell lengths 7.4600, 7.4600, 7.8043 Å; angles 99.35, 99.35, 119.98 degrees
Fractional coordinates of all 12 atoms:
K1 0.8334 0.1666 0.5000
K2 0.3333 0.6667 0.0000
K3 0.1762 0.8238 0.5000
K4 0.4905 0.5096 0.5000
Th1 0.0006 0.9994 0.0000
Th2 0.6661 0.3339 0.0000
S1 0.6343 0.9676 0.7909
S2 0.0323 0.3657 0.2091
S3 0.8888 0.5953 0.7906
S4 0.2620 0.2222 0.7906
S5 0.4047 0.1112 0.2094
S6 0.7778 0.7380 0.2094


(7)
Compound: CaMgHgF6
Source: the Alexandria database
Functional: PBE-GGA
Structure: optimized geometry

Fermi-level density of states = 0.00 states/eV per cell
formation energy (no corrections) = -2942 meV per atom
magnetic moment = 0.000 μB per atom
space group = P4_2nm

Cell lengths 5.0956, 5.0956, 10.3552 Å; angles 90.00, 90.00, 90.00 degrees
Fractional coordinates of all 18 atoms:
Ca1 0.5000 0.5000 0.1687
Ca2 0.0000 0.0000 0.6687
Mg1 0.5000 0.5000 0.8325
Mg2 0.0000 0.0000 0.3325
Hg1 0.5000 0.5000 0.4989
Hg2 0.0000 0.0000 0.9989
F1 0.1807 0.8193 0.4851
F2 0.8193 0.1807 0.4851
F3 0.3193 0.3193 0.9851
F4 0.6807 0.6807 0.9851
F5 0.1876 0.8124 0.1866
F6 0.8124 0.1876 0.1866
F7 0.3124 0.3124 0.6866
F8 0.6876 0.6876 0.6866
F9 0.7814 0.2186 0.8283
F10 0.2186 0.7814 0.8283
F11 0.7186 0.7186 0.3283
F12 0.2814 0.2814 0.3283


(8)
Compound: ZnIrPb3
Source: the Alexandria database
Functional: PBE-GGA
Structure: optimized geometry

offset from the most stable computed form = 58.7 kJ per mole of atoms
Fermi-level density of states = 2.88 states/eV per cell
magnetic moment = 0.000 μB per atom
ΔE_f = 1.01 eV per atom
space group = Pm-3m

Cell lengths 5.1851, 5.1851, 5.1851 Å; angles 90.00, 90.00, 90.00 degrees
Fractional coordinates of all 5 atoms:
Pb1 0.0000 0.5000 0.0000
Pb2 0.0000 0.0000 0.5000
Pb3 0.5000 0.0000 0.0000
Zn1 0.0000 0.0000 0.0000
Ir1 0.5000 0.5000 0.5000


no.,energy (eV for the cell shown)
1,-50.026
2,-26.646
3,-48.200
4,-109.338
5,-22.510
6,-64.667
7,-83.213
8,-16.190